Entry from the Alexandria database: crystalline GePbAu2 at its relaxed geometry (PBE).

Output
- polymorph energy (0 for the lowest one) (meV/atom) = 37
- final energy (eV/atom) = -3.721
- E_form (eV per atom) = -0.001
- space-group type = R-3m (166)

Cell: 6.372 6.372 6.372 Å, 39.00 39.00 39.00°
Element x y z (fractional)
Ge: 0.000 0.000 0.000
Pb: 0.500 0.500 0.500
Au: 0.271 0.271 0.271
Au: 0.729 0.729 0.729